{
  "formula": "HgAsAu2",
  "functional": "GGA-PBE",
  "state": "relaxed",
  "lattice_angstrom": [[-0.731, 3.859, 2.801], [-0.324, -0.519, 4.785], [3.542, 1.620, 2.847]],
  "species": ["Au", "Au", "Hg", "As"],
  "frac_coords": [[0.250, 0.250, 0.250], [0.000, 0.000, 0.000], [0.750, 0.750, 0.750], [0.500, 0.500, 0.500]],
  "dos_at_fermi_per_ev_cell": 2.37,
  "sg": "No. 216",
  "formation_energy_ev_per_atom": 0.301,
  "total_energy_ev_per_atom": -2.575,
  "magnetic_moment_mub_per_fu": 0.000
}


{
  "formula": "HgAsAu2",
  "functional": "GGA-PBE",
  "state": "relaxed",
  "lattice_angstrom": [[2.981, 0.000, 0.000], [0.000, 2.981, 0.000], [0.000, 0.000, 8.872]],
  "species": ["Hg", "Au", "Au", "As"],
  "frac_coords": [[0.500, 0.500, 0.250], [0.000, 0.000, 0.513], [0.000, 0.000, 0.987], [0.500, 0.500, 0.750]],
  "dos_at_fermi_per_ev_cell": 1.66,
  "sg": "No. 123",
  "formation_energy_ev_per_atom": 0.198,
  "total_energy_ev_per_atom": -2.678,
  "magnetic_moment_mub_per_fu": 0.000
}


{
  "formula": "Hg12As5Au3",
  "functional": "GGA-PBE",
  "state": "relaxed",
  "lattice_angstrom": [[14.062, 0.000, 0.000], [-4.687, 13.257, 0.000], [-4.687, -6.629, 11.481]],
  "species": ["As", "As", "As", "As", "As", "As", "As", "As", "As", "As", "As", "As", "As", "As", "As", "As", "As", "As", "As", "As", "Hg", "Hg", "Hg", "Hg", "Hg", "Hg", "Hg", "Hg", "Hg", "Hg", "Hg", "Hg", "Hg", "Hg", "Hg", "Hg", "Hg", "Hg", "Hg", "Hg", "Hg", "Hg", "Hg", "Hg", "Hg", "Hg", "Hg", "Hg", "Hg", "Hg", "Hg", "Hg", "Hg", "Hg", "Hg", "Hg", "Hg", "Hg", "Hg", "Hg", "Hg", "Hg", "Hg", "Hg", "Hg", "Hg", "Hg", "Hg", "Au", "Au", "Au", "Au", "Au", "Au", "Au", "Au", "Au", "Au", "Au", "Au"],
  "frac_coords": [[0.000, 0.000, 0.000], [0.250, 0.875, 0.125], [0.500, 0.000, 0.500], [0.750, 0.125, 0.875], [0.375, 0.125, 0.750], [0.875, 0.250, 0.625], [0.375, 0.250, 0.125], [0.750, 0.625, 0.375], [0.000, 0.000, 0.500], [0.500, 0.500, 0.000], [0.000, 0.500, 0.000], [0.250, 0.375, 0.625], [0.625, 0.875, 0.250], [0.625, 0.750, 0.875], [0.500, 0.500, 0.500], [0.875, 0.625, 0.750], [0.125, 0.375, 0.250], [0.000, 0.500, 0.500], [0.125, 0.750, 0.375], [0.500, 0.000, 0.000], [0.074, 0.898, 0.129], [0.926, 0.102, 0.871], [0.055, 0.426, 0.825], [0.770, 0.325, 0.898], [0.055, 0.629, 0.730], [0.825, 0.898, 0.270], [0.730, 0.129, 0.055], [0.175, 0.102, 0.730], [0.602, 0.871, 0.426], [0.871, 0.602, 0.926], [0.325, 0.555, 0.426], [0.129, 0.398, 0.074], [0.270, 0.398, 0.825], [0.325, 0.770, 0.398], [0.770, 0.445, 0.371], [0.574, 0.945, 0.675], [0.398, 0.129, 0.574], [0.230, 0.555, 0.629], [0.602, 0.730, 0.675], [0.426, 0.371, 0.602], [0.270, 0.871, 0.945], [0.102, 0.175, 0.230], [0.945, 0.371, 0.270], [0.629, 0.055, 0.230], [0.871, 0.270, 0.445], [0.898, 0.825, 0.770], [0.426, 0.055, 0.325], [0.102, 0.926, 0.371], [0.730, 0.602, 0.175], [0.371, 0.426, 0.102], [0.175, 0.074, 0.945], [0.445, 0.675, 0.074], [0.129, 0.730, 0.555], [0.825, 0.926, 0.055], [0.371, 0.945, 0.770], [0.445, 0.770, 0.871], [0.574, 0.629, 0.398], [0.230, 0.675, 0.102], [0.398, 0.270, 0.325], [0.074, 0.175, 0.445], [0.555, 0.325, 0.926], [0.926, 0.825, 0.555], [0.945, 0.574, 0.175], [0.898, 0.074, 0.629], [0.675, 0.230, 0.602], [0.675, 0.445, 0.574], [0.555, 0.230, 0.129], [0.629, 0.574, 0.898], [0.375, 0.750, 0.625], [0.625, 0.250, 0.375], [0.125, 0.250, 0.875], [0.625, 0.375, 0.750], [0.875, 0.750, 0.125], [0.750, 0.875, 0.625], [0.250, 0.625, 0.875], [0.375, 0.625, 0.250], [0.125, 0.875, 0.750], [0.250, 0.125, 0.375], [0.750, 0.375, 0.125], [0.875, 0.125, 0.250]],
  "dos_at_fermi_per_ev_cell": 58.98,
  "sg": "No. 230",
  "formation_energy_ev_per_atom": 0.172,
  "total_energy_ev_per_atom": -1.663,
  "magnetic_moment_mub_per_fu": 0.000
}


{
  "formula": "HgAs2Au",
  "functional": "GGA-PBE",
  "state": "relaxed",
  "lattice_angstrom": [[3.974, 0.000, 0.000], [0.000, 3.974, 0.000], [0.000, 0.000, 5.509]],
  "species": ["As", "As", "Hg", "Au"],
  "frac_coords": [[0.000, 0.000, 0.125], [0.500, 0.500, 0.125], [0.500, 0.500, 0.625], [0.000, 0.000, 0.625]],
  "dos_at_fermi_per_ev_cell": 1.97,
  "sg": "No. 123",
  "formation_energy_ev_per_atom": 0.161,
  "total_energy_ev_per_atom": -3.059,
  "relative_energy_ev_per_atom": 0.153,
  "magnetic_moment_mub_per_fu": 0.000
}


{
  "formula": "HgAsAuI2",
  "functional": "GGA-PBE",
  "state": "relaxed",
  "lattice_angstrom": [[-4.893, 3.228, 1.088], [-1.495, -3.514, 3.704], [2.967, 3.101, 4.139]],
  "species": ["Hg", "I", "I", "Au", "As"],
  "frac_coords": [[0.000, 0.000, 0.000], [0.500, 0.000, 0.000], [0.000, 0.000, 0.500], [0.000, 0.500, 0.000], [0.500, 0.500, 0.500]],
  "dos_at_fermi_per_ev_cell": 5.92,
  "sg": "No. 123",
  "total_energy_ev_per_atom": -1.497,
  "formation_energy_uncorrected_ev_per_fu": 3.846,
  "magnetic_moment_mub_per_fu": 2.375
}


{
  "formula": "Hg2AsIrAu",
  "functional": "GGA-PBE",
  "state": "relaxed",
  "lattice_angstrom": [[-4.467, 0.450, -2.579], [-1.832, -3.729, 2.523], [-1.745, 3.290, 3.597]],
  "species": ["Ir", "Au", "As", "Hg", "Hg"],
  "frac_coords": [[0.500, 0.500, 0.500], [0.000, 0.000, 0.000], [0.000, 0.500, 0.000], [0.500, 0.000, 0.000], [0.000, 0.000, 0.500]],
  "dos_at_fermi_per_ev_cell": 4.78,
  "sg": "No. 123",
  "formation_energy_ev_per_atom": 1.297,
  "total_energy_ev_per_atom": -2.182,
  "magnetic_moment_mub_per_fu": 0.010
}


{
  "formula": "K2HgAsAu",
  "functional": "GGA-PBE",
  "state": "relaxed",
  "lattice_angstrom": [[6.426, 0.000, 0.000], [0.000, 6.426, 0.000], [0.000, 0.000, 4.858]],
  "species": ["As", "Hg", "Au", "K", "K"],
  "frac_coords": [[0.000, 0.000, 0.000], [0.500, 0.500, 0.500], [0.000, 0.000, 0.500], [0.000, 0.500, 0.000], [0.500, 0.000, 0.000]],
  "dos_at_fermi_per_ev_cell": 1.80,
  "sg": "No. 123",
  "formation_energy_ev_per_atom": -0.244,
  "total_energy_ev_per_atom": -2.329,
  "relative_energy_ev_per_atom": 0.000,
  "magnetic_moment_mub_per_fu": 0.000
}


{
  "formula": "LaHgAs2Au",
  "functional": "GGA-PBE",
  "state": "relaxed",
  "lattice_angstrom": [[-0.619, -0.612, -4.988], [5.260, -3.047, -0.279], [-2.470, -4.341, 0.839]],
  "species": ["As", "As", "Au", "La", "Hg"],
  "frac_coords": [[0.500, 0.000, 0.000], [0.000, 0.000, 0.500], [0.500, 0.500, 0.500], [0.000, 0.500, 0.000], [0.000, 0.000, 0.000]],
  "dos_at_fermi_per_ev_cell": 2.26,
  "sg": "No. 123",
  "formation_energy_ev_per_atom": 0.446,
  "total_energy_ev_per_atom": -3.115,
  "magnetic_moment_mub_per_fu": 0.000
}


{
  "formula": "Li2HgAsAu",
  "functional": "GGA-PBE",
  "state": "relaxed",
  "lattice_angstrom": [[-4.597, -1.637, -1.069], [1.878, -2.936, -3.578], [0.533, -3.617, 3.247]],
  "species": ["Hg", "As", "Au", "Li", "Li"],
  "frac_coords": [[0.500, 0.500, 0.500], [0.000, 0.000, 0.000], [0.000, 0.000, 0.500], [0.000, 0.500, 0.000], [0.500, 0.000, 0.000]],
  "dos_at_fermi_per_ev_cell": 0.95,
  "sg": "No. 123",
  "formation_energy_ev_per_atom": -0.252,
  "total_energy_ev_per_atom": -2.663,
  "magnetic_moment_mub_per_fu": 0.000
}


{
  "formula": "LiHgAsAu",
  "functional": "GGA-PBE",
  "state": "relaxed",
  "lattice_angstrom": [[4.752, 0.000, 0.000], [2.376, 4.115, 0.000], [2.376, 1.372, 3.880]],
  "species": ["Li", "Au", "As", "Hg"],
  "frac_coords": [[0.750, 0.750, 0.750], [0.250, 0.250, 0.250], [0.000, 0.000, 0.000], [0.500, 0.500, 0.500]],
  "dos_at_fermi_per_ev_cell": 3.48,
  "sg": "No. 216",
  "formation_energy_ev_per_atom": -0.099,
  "total_energy_ev_per_atom": -2.634,
  "magnetic_moment_mub_per_fu": 0.000
}


{
  "formula": "NaHg2AsAu",
  "functional": "GGA-PBE",
  "state": "relaxed",
  "lattice_angstrom": [[-1.739, 0.694, 4.957], [0.952, -5.322, 1.079], [4.921, 1.196, 1.559]],
  "species": ["Na", "Hg", "Hg", "As", "Au"],
  "frac_coords": [[0.000, 0.500, 0.000], [0.000, 0.000, 0.500], [0.500, 0.000, 0.000], [0.500, 0.500, 0.500], [0.000, 0.000, 0.000]],
  "dos_at_fermi_per_ev_cell": 2.59,
  "sg": "No. 123",
  "formation_energy_ev_per_atom": 0.314,
  "total_energy_ev_per_atom": -1.656,
  "magnetic_moment_mub_per_fu": 1.571
}


{
  "formula": "Hg3As2Pb6Au",
  "functional": "GGA-PBE",
  "state": "relaxed",
  "lattice_angstrom": [[-7.205, -0.953, 1.769], [5.255, -0.106, 5.322], [-0.076, 7.649, -1.557]],
  "species": ["Au", "Pb", "Pb", "Pb", "Pb", "Pb", "Pb", "As", "As", "Hg", "Hg", "Hg"],
  "frac_coords": [[0.000, 0.000, 0.000], [0.399, 0.070, 0.213], [0.601, 0.930, 0.787], [0.745, 0.745, 0.215], [0.255, 0.255, 0.785], [0.930, 0.601, 0.787], [0.070, 0.399, 0.213], [0.665, 0.335, 0.000], [0.335, 0.665, 0.000], [0.828, 0.172, 0.500], [0.172, 0.828, 0.500], [0.500, 0.500, 0.500]],
  "dos_at_fermi_per_ev_cell": 6.19,
  "sg": "No. 12",
  "formation_energy_ev_per_atom": 0.011,
  "total_energy_ev_per_atom": -2.967,
  "magnetic_moment_mub_per_fu": 0.000
}


{
  "formula": "PmHgAsAu",
  "functional": "GGA-PBE",
  "state": "relaxed",
  "lattice_angstrom": [[-0.039, -4.631, 2.088], [2.588, -3.791, -2.178], [4.191, -1.820, 2.222]],
  "species": ["As", "Pm", "Au", "Hg"],
  "frac_coords": [[0.000, 0.000, 0.000], [0.750, 0.750, 0.750], [0.500, 0.500, 0.500], [0.250, 0.250, 0.250]],
  "dos_at_fermi_per_ev_cell": 2.48,
  "sg": "No. 216",
  "formation_energy_ev_per_atom": -0.490,
  "total_energy_ev_per_atom": -3.735,
  "magnetic_moment_mub_per_fu": 0.000
}


{
  "formula": "RbHg2AsAu",
  "functional": "GGA-PBE",
  "state": "relaxed",
  "lattice_angstrom": [[5.618, 0.000, 0.000], [0.000, 5.618, 0.000], [0.000, 0.000, 5.109]],
  "species": ["Hg", "Hg", "Rb", "As", "Au"],
  "frac_coords": [[0.000, 0.500, 0.000], [0.500, 0.000, 0.000], [0.500, 0.500, 0.500], [0.000, 0.000, 0.000], [0.000, 0.000, 0.500]],
  "dos_at_fermi_per_ev_cell": 1.44,
  "sg": "No. 123",
  "formation_energy_ev_per_atom": -0.078,
  "total_energy_ev_per_atom": -1.977,
  "magnetic_moment_mub_per_fu": 0.000
}


{
  "formula": "Rb4Hg2As2Au",
  "functional": "GGA-PBE",
  "state": "relaxed",
  "lattice_angstrom": [[-4.748, 2.522, 2.035], [-3.711, -0.650, -7.018], [-4.008, -6.884, 0.012]],
  "species": ["Hg", "Hg", "Rb", "Rb", "Rb", "Rb", "As", "As", "Au"],
  "frac_coords": [[0.335, 0.643, 0.643], [0.665, 0.357, 0.357], [0.187, 0.113, 0.631], [0.813, 0.887, 0.369], [0.187, 0.631, 0.113], [0.813, 0.369, 0.887], [0.680, 0.822, 0.822], [0.320, 0.178, 0.178], [0.500, 0.000, 0.000]],
  "dos_at_fermi_per_ev_cell": 6.62,
  "sg": "No. 12",
  "formation_energy_ev_per_atom": -0.299,
  "total_energy_ev_per_atom": -2.194,
  "magnetic_moment_mub_per_fu": 0.961
}


{
  "formula": "Hg2AsRuAu",
  "functional": "GGA-PBE",
  "state": "relaxed",
  "lattice_angstrom": [[5.173, 0.000, 0.000], [0.000, 5.058, 0.000], [0.000, 0.000, 5.173]],
  "species": ["Hg", "Hg", "Ru", "Au", "As"],
  "frac_coords": [[0.500, 0.000, 0.000], [0.000, 0.000, 0.500], [0.000, 0.000, 0.000], [0.000, 0.500, 0.000], [0.500, 0.500, 0.500]],
  "dos_at_fermi_per_ev_cell": 2.90,
  "sg": "No. 123",
  "formation_energy_ev_per_atom": 1.059,
  "total_energy_ev_per_atom": -2.502,
  "magnetic_moment_mub_per_fu": 2.464
}


{
  "formula": "HgAs2AuSe",
  "functional": "GGA-PBE",
  "state": "relaxed",
  "lattice_angstrom": [[-2.391, -4.385, 0.955], [1.492, 0.244, 4.855], [-4.338, 2.627, 1.201]],
  "species": ["As", "As", "Se", "Au", "Hg"],
  "frac_coords": [[0.000, 0.500, 0.000], [0.500, 0.000, 0.000], [0.000, 0.000, 0.500], [0.000, 0.000, 0.000], [0.500, 0.500, 0.500]],
  "dos_at_fermi_per_ev_cell": 5.67,
  "sg": "No. 123",
  "total_energy_ev_per_atom": -2.531,
  "relative_energy_ev_per_atom": 0.000,
  "formation_energy_uncorrected_ev_per_fu": 3.708,
  "magnetic_moment_mub_per_fu": 1.048
}


{
  "formula": "HgTeAs2Au",
  "functional": "GGA-PBE",
  "state": "relaxed",
  "lattice_angstrom": [[-0.735, 3.747, -3.540], [0.133, -3.554, -3.789], [-5.153, -0.626, 0.407]],
  "species": ["Te", "As", "As", "Hg", "Au"],
  "frac_coords": [[0.500, 0.500, 0.500], [0.500, 0.000, 0.000], [0.000, 0.000, 0.500], [0.000, 0.000, 0.000], [0.000, 0.500, 0.000]],
  "dos_at_fermi_per_ev_cell": 4.44,
  "sg": "No. 123",
  "total_energy_ev_per_atom": -2.307,
  "formation_energy_uncorrected_ev_per_fu": 4.485,
  "magnetic_moment_mub_per_fu": 0.000
}


{
  "formula": "Tl6Hg2AsAu",
  "functional": "GGA-PBE",
  "state": "relaxed",
  "lattice_angstrom": [[6.853, -0.105, -0.992], [-0.063, 6.746, -0.689], [-4.439, -4.076, 7.370]],
  "species": ["Hg", "Hg", "Tl", "Tl", "Tl", "Tl", "Tl", "Tl", "Au", "As"],
  "frac_coords": [[0.716, 0.208, 0.440], [0.062, 0.534, 0.457], [0.235, 0.100, 0.489], [0.604, 0.729, 0.492], [0.280, 0.169, 0.896], [0.178, 0.694, 0.933], [0.663, 0.817, 0.922], [0.837, 0.352, 0.945], [0.205, 0.209, 0.206], [0.718, 0.691, 0.219]],
  "dos_at_fermi_per_ev_cell": 2.82,
  "sg": "No. 1",
  "formation_energy_ev_per_atom": 0.006,
  "total_energy_ev_per_atom": -2.267,
  "magnetic_moment_mub_per_fu": 0.000
}


{
  "formula": "Tl2HgAsAu",
  "functional": "GGA-PBE",
  "state": "relaxed",
  "lattice_angstrom": [[-4.292, -3.612, -1.448], [0.566, -2.490, 4.533], [-3.840, 3.582, 2.447]],
  "species": ["Tl", "Tl", "Au", "As", "Hg"],
  "frac_coords": [[0.500, 0.000, 0.000], [0.000, 0.000, 0.500], [0.000, 0.500, 0.000], [0.500, 0.500, 0.500], [0.000, 0.000, 0.000]],
  "dos_at_fermi_per_ev_cell": 3.16,
  "sg": "No. 123",
  "formation_energy_ev_per_atom": 0.613,
  "total_energy_ev_per_atom": -1.980,
  "magnetic_moment_mub_per_fu": 1.294
}